Entry 1:
{
  "formula": "NpP3Ir5",
  "functional": "PBE",
  "state": "relaxed",
  "cell": [[1.960, -6.096, 0.000], [1.960, 6.096, 0.000], [0.000, 0.000, 12.190]],
  "species": ["Np", "Np", "P", "P", "P", "P", "P", "P", "Ir", "Ir", "Ir", "Ir", "Ir", "Ir", "Ir", "Ir", "Ir", "Ir"],
  "fractional_positions": [[0.135, 0.865, 0.750], [0.865, 0.135, 0.250], [0.126, 0.874, 0.250], [0.394, 0.606, 0.054], [0.394, 0.606, 0.446], [0.606, 0.394, 0.554], [0.606, 0.394, 0.946], [0.874, 0.126, 0.750], [0.000, 0.000, 0.000], [0.000, 0.000, 0.500], [0.215, 0.785, 0.079], [0.215, 0.785, 0.421], [0.434, 0.566, 0.639], [0.434, 0.566, 0.861], [0.566, 0.434, 0.139], [0.566, 0.434, 0.361], [0.785, 0.215, 0.579], [0.785, 0.215, 0.921]],
  "ef_ev_per_atom": -0.41,
  "e_tot_ev_per_atom": -8.572,
  "dos_at_fermi_per_ev_cell": 21.3,
  "sg": "Cmcm"
}

Entry 2:
{
  "formula": "CaSc2Cl",
  "functional": "PBE",
  "state": "relaxed",
  "cell": [[0.000, 3.787, 3.787], [3.787, 0.000, 3.787], [3.787, 3.787, 0.000]],
  "species": ["Ca", "Sc", "Sc", "Cl"],
  "fractional_positions": [[0.000, 0.000, 0.000], [0.250, 0.250, 0.250], [0.750, 0.750, 0.750], [0.500, 0.500, 0.500]],
  "raw_formation_energy_ev_per_atom": 0.273,
  "e_tot_ev_per_atom": -3.855,
  "dos_at_fermi_per_ev_cell": 6.3,
  "relative_energy_mev_per_atom": 921,
  "sg": "Fm-3m"
}

Entry 3:
{
  "formula": "LiPmDy2",
  "functional": "PBE",
  "state": "relaxed",
  "cell": [[5.675, 0.000, 0.000], [0.000, 5.675, 0.000], [0.000, 0.000, 3.698]],
  "species": ["Li", "Pm", "Dy", "Dy"],
  "fractional_positions": [[0.000, 0.000, 0.000], [0.500, 0.500, 0.000], [0.000, 0.500, 0.500], [0.500, 0.000, 0.500]],
  "ef_ev_per_atom": 0.17,
  "e_tot_ev_per_atom": -3.795,
  "dos_at_fermi_per_ev_cell": 5.8,
  "relative_energy_mev_per_atom": 96,
  "sg": "P4/mmm"
}

Entry 4:
{
  "formula": "Pu2CrGa",
  "functional": "PBE",
  "state": "relaxed",
  "cell": [[1.481, 0.855, 10.152], [-1.481, 0.855, 10.152], [0.000, -1.710, 10.152]],
  "species": ["Pu", "Pu", "Cr", "Ga"],
  "fractional_positions": [[0.080, 0.080, 0.080], [0.920, 0.920, 0.920], [0.000, 0.000, 0.000], [0.500, 0.500, 0.500]],
  "ef_ev_per_atom": 0.41,
  "e_tot_ev_per_atom": -9.915,
  "dos_at_fermi_per_ev_cell": 9.1,
  "relative_energy_mev_per_atom": 448,
  "sg": "R-3m"
}

Entry 5:
{
  "formula": "PuBeC",
  "functional": "PBE",
  "state": "relaxed",
  "cell": [[-1.842, 1.842, 3.200], [1.842, -1.842, 3.200], [1.842, 1.842, -3.200]],
  "species": ["Pu", "Be", "C"],
  "fractional_positions": [[0.000, 0.000, 0.000], [0.386, 0.386, 0.000], [0.642, 0.642, 0.000]],
  "ef_ev_per_atom": 0.68,
  "e_tot_ev_per_atom": -8.417,
  "dos_at_fermi_per_ev_cell": 8.4,
  "relative_energy_mev_per_atom": 727,
  "sg": "I4mm"
}

Entry 6:
{
  "formula": "NiHgTe2",
  "functional": "PBE",
  "state": "relaxed",
  "cell": [[5.455, 0.000, 0.000], [0.000, 5.455, 0.000], [0.000, 0.000, 3.136]],
  "species": ["Ni", "Hg", "Te", "Te"],
  "fractional_positions": [[0.000, 0.000, 0.000], [0.500, 0.500, 0.000], [0.000, 0.500, 0.500], [0.500, 0.000, 0.500]],
  "raw_formation_energy_ev_per_atom": 0.478,
  "e_tot_ev_per_atom": -2.614,
  "dos_at_fermi_per_ev_cell": 2.8,
  "sg": "P4/mmm"
}

Entry 7:
{
  "formula": "La2CuAs2",
  "functional": "PBE",
  "state": "relaxed",
  "cell": [[7.817, 0.000, 0.000], [0.000, 7.817, 0.000], [0.000, 0.000, 4.094]],
  "species": ["La", "La", "La", "La", "Cu", "Cu", "As", "As", "As", "As"],
  "fractional_positions": [[0.153, 0.347, 0.000], [0.347, 0.847, 0.000], [0.653, 0.153, 0.000], [0.847, 0.653, 0.000], [0.000, 0.000, 0.500], [0.500, 0.500, 0.500], [0.160, 0.660, 0.500], [0.340, 0.160, 0.500], [0.660, 0.840, 0.500], [0.840, 0.340, 0.500]],
  "ef_ev_per_atom": -0.90,
  "e_tot_ev_per_atom": -5.553,
  "dos_at_fermi_per_ev_cell": 7.0,
  "sg": "P4/mbm"
}

Entry 8:
{
  "formula": "Ba2NiPtN",
  "functional": "PBE",
  "state": "relaxed",
  "cell": [[5.757, 0.000, 0.000], [0.000, 5.757, 0.000], [0.000, 0.000, 3.819]],
  "species": ["Ba", "Ba", "Ni", "Pt", "N"],
  "fractional_positions": [[0.000, 0.500, 0.000], [0.500, 0.000, 0.000], [0.000, 0.000, 0.500], [0.500, 0.500, 0.500], [0.500, 0.500, 0.000]],
  "raw_formation_energy_ev_per_atom": -0.231,
  "e_tot_ev_per_atom": -5.030,
  "dos_at_fermi_per_ev_cell": 2.8,
  "relative_energy_mev_per_atom": 282,
  "sg": "P4/mmm"
}

Entry 9:
{
  "formula": "Sm7Ge2N2",
  "functional": "PBE",
  "state": "relaxed",
  "cell": [[5.579, -3.741, 0.000], [5.579, 3.741, 0.000], [-0.666, 0.000, 6.360]],
  "species": ["Sm", "Sm", "Sm", "Sm", "Sm", "Sm", "Sm", "Ge", "Ge", "N", "N"],
  "fractional_positions": [[0.000, 0.000, 0.000], [0.066, 0.496, 0.766], [0.435, 0.435, 0.229], [0.496, 0.066, 0.766], [0.504, 0.934, 0.234], [0.565, 0.565, 0.771], [0.934, 0.504, 0.234], [0.170, 0.830, 0.500], [0.830, 0.170, 0.500], [0.228, 0.228, 0.035], [0.772, 0.772, 0.965]],
  "raw_formation_energy_ev_per_atom": -0.616,
  "e_tot_ev_per_atom": -5.972,
  "dos_at_fermi_per_ev_cell": 8.7,
  "sg": "C2/m"
}

Entry 10:
{
  "formula": "YTmZn10",
  "functional": "PBE",
  "state": "relaxed",
  "cell": [[4.208, 0.000, 0.000], [0.000, 5.306, 0.000], [0.000, 0.000, 9.139]],
  "species": ["Y", "Tm", "Zn", "Zn", "Zn", "Zn", "Zn", "Zn", "Zn", "Zn", "Zn", "Zn"],
  "fractional_positions": [[0.000, 0.000, 0.000], [0.000, 0.500, 0.500], [0.000, 0.000, 0.336], [0.000, 0.000, 0.664], [0.000, 0.500, 0.168], [0.000, 0.500, 0.832], [0.500, 0.000, 0.500], [0.500, 0.250, 0.251], [0.500, 0.250, 0.749], [0.500, 0.500, 0.000], [0.500, 0.750, 0.251], [0.500, 0.750, 0.749]],
  "ef_ev_per_atom": -0.27,
  "e_tot_ev_per_atom": -2.243,
  "dos_at_fermi_per_ev_cell": 5.1,
  "sg": "Pmmm"
}

Entry 11:
{
  "formula": "MgCdBr",
  "functional": "PBE",
  "state": "relaxed",
  "cell": [[0.000, 2.464, 6.564], [2.433, 0.000, 6.564], [2.433, 2.464, 0.000]],
  "species": ["Mg", "Cd", "Br"],
  "fractional_positions": [[0.000, 0.000, 0.000], [0.359, 0.359, 0.641], [0.622, 0.622, 0.378]],
  "raw_formation_energy_ev_per_atom": -0.425,
  "e_tot_ev_per_atom": -1.820,
  "dos_at_fermi_per_ev_cell": 0.3,
  "relative_energy_mev_per_atom": 85,
  "sg": "Fmm2"
}

Entry 12:
{
  "formula": "Tm3Ta5N12",
  "functional": "PBE",
  "state": "relaxed",
  "cell": [[-6.429, 6.429, 6.429], [6.429, -6.429, 6.429], [6.429, 6.429, -6.429]],
  "species": ["Tm", "Tm", "Tm", "Tm", "Tm", "Tm", "Tm", "Tm", "Tm", "Tm", "Tm", "Tm", "Ta", "Ta", "Ta", "Ta", "Ta", "Ta", "Ta", "Ta", "Ta", "Ta", "Ta", "Ta", "Ta", "Ta", "Ta", "Ta", "Ta", "Ta", "Ta", "Ta", "N", "N", "N", "N", "N", "N", "N", "N", "N", "N", "N", "N", "N", "N", "N", "N", "N", "N", "N", "N", "N", "N", "N", "N", "N", "N", "N", "N", "N", "N", "N", "N", "N", "N", "N", "N", "N", "N", "N", "N", "N", "N", "N", "N", "N", "N", "N", "N"],
  "fractional_positions": [[0.125, 0.250, 0.375], [0.125, 0.375, 0.750], [0.250, 0.375, 0.125], [0.250, 0.875, 0.625], [0.375, 0.125, 0.250], [0.375, 0.750, 0.125], [0.625, 0.250, 0.875], [0.625, 0.875, 0.750], [0.750, 0.125, 0.375], [0.750, 0.625, 0.875], [0.875, 0.625, 0.250], [0.875, 0.750, 0.625], [0.000, 0.000, 0.000], [0.000, 0.000, 0.500], [0.000, 0.500, 0.000], [0.000, 0.500, 0.500], [0.125, 0.750, 0.875], [0.125, 0.875, 0.250], [0.250, 0.125, 0.875], [0.250, 0.625, 0.375], [0.375, 0.250, 0.625], [0.375, 0.625, 0.750], [0.500, 0.000, 0.000], [0.500, 0.000, 0.500], [0.500, 0.500, 0.000], [0.500, 0.500, 0.500], [0.625, 0.375, 0.250], [0.625, 0.750, 0.375], [0.750, 0.375, 0.625], [0.750, 0.875, 0.125], [0.875, 0.125, 0.750], [0.875, 0.250, 0.125], [0.029, 0.207, 0.121], [0.029, 0.322, 0.908], [0.086, 0.707, 0.678], [0.086, 0.879, 0.408], [0.092, 0.621, 0.414], [0.092, 0.971, 0.678], [0.121, 0.029, 0.207], [0.121, 0.592, 0.914], [0.178, 0.207, 0.586], [0.178, 0.471, 0.592], [0.207, 0.121, 0.029], [0.207, 0.586, 0.178], [0.293, 0.322, 0.914], [0.293, 0.471, 0.379], [0.322, 0.908, 0.029], [0.322, 0.914, 0.293], [0.379, 0.293, 0.471], [0.379, 0.586, 0.908], [0.408, 0.086, 0.879], [0.408, 0.822, 0.529], [0.414, 0.092, 0.621], [0.414, 0.822, 0.793], [0.471, 0.379, 0.293], [0.471, 0.592, 0.178], [0.529, 0.408, 0.822], [0.529, 0.621, 0.707], [0.586, 0.178, 0.207], [0.586, 0.908, 0.379], [0.592, 0.178, 0.471], [0.592, 0.914, 0.121], [0.621, 0.414, 0.092], [0.621, 0.707, 0.529], [0.678, 0.086, 0.707], [0.678, 0.092, 0.971], [0.707, 0.529, 0.621], [0.707, 0.678, 0.086], [0.793, 0.414, 0.822], [0.793, 0.879, 0.971], [0.822, 0.529, 0.408], [0.822, 0.793, 0.414], [0.879, 0.408, 0.086], [0.879, 0.971, 0.793], [0.908, 0.029, 0.322], [0.908, 0.379, 0.586], [0.914, 0.121, 0.592], [0.914, 0.293, 0.322], [0.971, 0.678, 0.092], [0.971, 0.793, 0.879]],
  "raw_formation_energy_ev_per_atom": -1.096,
  "e_tot_ev_per_atom": -9.725,
  "dos_at_fermi_per_ev_cell": 67.7,
  "sg": "Ia-3d"
}